Entry 1:
Density functional theory data (GGA-PBE) for a relaxed structure of CeNd2DySb5.

a b c (Å): 5.289 5.289 11.777
angles (deg): 90.00 90.00 90.00
Element x y z (fractional)
Ce1 0.000 0.000 0.000
Nd1 0.500 0.500 0.280
Nd2 0.500 0.500 0.720
Dy1 0.000 0.000 0.500
Sb1 0.000 0.000 0.248
Sb2 0.000 0.000 0.752
Sb3 0.000 0.500 0.500
Sb4 0.500 0.000 0.500
Sb5 0.500 0.500 0.000

Computed properties:
N(E_F)	10.453	states/eV per cell
DFT total energy	-4.8295	eV/atom
E_form (uncorrected)	-0.3091	eV per atom
mass density	6.0	g/cm3
crystal system	tetragonal


Entry 2:
Density functional theory data (GGA-PBE) for a relaxed structure of Ce3Nd2DySb6.

a b c (Å): 7.777 7.777 7.778
angles (deg): 99.60 99.60 120.00
Element x y z (fractional)
Ce1 0.000 0.000 0.000
Ce2 0.331 0.669 0.000
Ce3 0.669 0.331 0.000
Nd1 0.166 0.834 0.500
Nd2 0.834 0.166 0.500
Dy1 0.500 0.500 0.500
Sb1 0.089 0.417 0.251
Sb2 0.256 0.256 0.752
Sb3 0.417 0.089 0.251
Sb4 0.583 0.911 0.749
Sb5 0.744 0.744 0.248
Sb6 0.911 0.583 0.749

Computed properties:
N(E_F)	20.187	states/eV per cell
DFT total energy	-5.8304	eV/atom
E_form (uncorrected)	-1.1076	eV per atom
mass density	6.9	g/cm3
crystal system	monoclinic


Entry 3:
Density functional theory data (GGA-PBE) for a relaxed structure of Ce3Nd3DySe8.

a b c (Å): 8.410 8.410 8.410
angles (deg): 59.96 59.96 59.96
Element x y z (fractional)
Ce1 0.000 0.500 0.500
Ce2 0.500 0.000 0.500
Ce3 0.500 0.500 0.000
Nd1 0.000 0.000 0.500
Nd2 0.000 0.500 0.000
Nd3 0.500 0.000 0.000
Dy1 0.000 0.000 0.000
Se1 0.246 0.246 0.753
Se2 0.246 0.753 0.246
Se3 0.247 0.754 0.754
Se4 0.251 0.251 0.251
Se5 0.749 0.749 0.749
Se6 0.753 0.246 0.246
Se7 0.754 0.247 0.754
Se8 0.754 0.754 0.247

Computed properties:
N(E_F)	21.033	states/eV per cell
DFT total energy	-6.1671	eV/atom
E_form (uncorrected)	-1.8615	eV per atom
mass density	6.5	g/cm3
crystal system	trigonal


Entry 4:
Density functional theory data (GGA-PBE) for a relaxed structure of Ce3Nd2DySe6.

a b c (Å): 7.251 7.251 7.284
angles (deg): 99.56 99.56 120.03
Element x y z (fractional)
Ce1 0.000 0.000 0.000
Ce2 0.330 0.670 0.000
Ce3 0.670 0.330 0.000
Nd1 0.166 0.834 0.500
Nd2 0.834 0.166 0.500
Dy1 0.500 0.500 0.500
Se1 0.093 0.418 0.254
Se2 0.258 0.258 0.750
Se3 0.418 0.093 0.254
Se4 0.582 0.907 0.746
Se5 0.742 0.742 0.250
Se6 0.907 0.582 0.746

Computed properties:
N(E_F)	19.762	states/eV per cell
DFT total energy	-6.2252	eV/atom
E_form (uncorrected)	-1.8213	eV per atom
mass density	7.1	g/cm3
crystal system	monoclinic


Entry 5:
Density functional theory data (GGA-PBE) for a relaxed structure of CeNd2DySe4.

a b c (Å): 7.256 4.153 7.276
angles (deg): 90.00 109.04 90.00
Element x y z (fractional)
Ce1 0.000 0.000 0.000
Nd1 0.500 0.000 0.500
Nd2 0.500 0.500 0.000
Dy1 0.000 0.500 0.500
Se1 0.239 0.000 0.741
Se2 0.243 0.500 0.253
Se3 0.757 0.500 0.747
Se4 0.761 0.000 0.259

Computed properties:
N(E_F)	8.692	states/eV per cell
DFT total energy	-6.0669	eV/atom
E_form (uncorrected)	-1.8157	eV per atom
mass density	7.3	g/cm3
crystal system	monoclinic


Entry 6:
Density functional theory data (GGA-PBE) for a relaxed structure of Ce3NdDy2Se6.

a b c (Å): 7.192 7.192 7.261
angles (deg): 99.51 99.51 120.04
Element x y z (fractional)
Ce1 0.000 0.000 0.000
Ce2 0.337 0.663 0.000
Ce3 0.663 0.337 0.000
Nd1 0.500 0.500 0.500
Dy1 0.167 0.833 0.500
Dy2 0.833 0.167 0.500
Se1 0.077 0.419 0.256
Se2 0.238 0.238 0.740
Se3 0.419 0.077 0.256
Se4 0.581 0.923 0.744
Se5 0.762 0.762 0.260
Se6 0.923 0.581 0.744

Computed properties:
N(E_F)	19.458	states/eV per cell
DFT total energy	-6.1985	eV/atom
E_form (uncorrected)	-1.8085	eV per atom
mass density	7.4	g/cm3
crystal system	monoclinic


Entry 7:
Density functional theory data (GGA-PBE) for a relaxed structure of CeNdDy2Se6.

a b c (Å): 7.788 7.788 7.788
angles (deg): 56.43 56.43 56.43
Element x y z (fractional)
Ce1 0.000 0.000 0.000
Nd1 0.500 0.500 0.500
Dy1 0.299 0.299 0.299
Dy2 0.799 0.799 0.799
Se1 0.085 0.685 0.416
Se2 0.186 0.585 0.914
Se3 0.416 0.085 0.685
Se4 0.585 0.914 0.186
Se5 0.685 0.416 0.085
Se6 0.914 0.186 0.585

Computed properties:
N(E_F)	4.906	states/eV per cell
DFT total energy	-5.9022	eV/atom
E_form (uncorrected)	-1.8209	eV per atom
mass density	5.9	g/cm3
crystal system	trigonal


Entry 8:
Density functional theory data (GGA-PBE) for a relaxed structure of CeNdDy2Se4.

a b c (Å): 7.137 4.100 7.279
angles (deg): 90.00 108.87 90.00
Element x y z (fractional)
Ce1 0.000 0.000 0.000
Nd1 0.500 0.500 0.000
Dy1 0.000 0.500 0.500
Dy2 0.500 0.000 0.500
Se1 0.244 0.000 0.737
Se2 0.253 0.500 0.263
Se3 0.747 0.500 0.737
Se4 0.756 0.000 0.263

Computed properties:
N(E_F)	8.735	states/eV per cell
DFT total energy	-6.0289	eV/atom
E_form (uncorrected)	-1.7984	eV per atom
mass density	7.6	g/cm3
crystal system	monoclinic


> Which value of E_form (uncorrected) does entry 8 give?

-1.7984 eV per atom


> Look up the mass density of the seventh one.

5.9 g/cm3